Compound: Ho2Ga3Sn3
Source: Alexandria
Functional: GGA-PBE
Structure: optimized geometry

Summary:
Calculated formation energy: -0.452 eV/atom

a b c (Å): 4.3247 4.4188 9.5079
angles (deg): 90.00 90.00 90.00
Space group Pmmm (No. 47)
Inequivalent atoms, fractional coordinates:
1 Ho 0.0000 0.0000 0.2422 [2 per cell]
2 Ga 0.5000 0.0000 0.0000 [1 per cell]
3 Ga 0.5000 0.5000 0.2329 [2 per cell]
4 Sn 0.0000 0.5000 0.0000 [1 per cell]
5 Sn 0.0000 0.5000 0.5000 [1 per cell]
6 Sn 0.5000 0.0000 0.5000 [1 per cell]


Compound: Hf3TiRh
Source: Alexandria
Functional: GGA-PBE
Structure: optimized geometry

Summary:
Calculated formation energy: -0.241 eV/atom
Energy above the most stable polymorph in this dataset: 0.0 kJ per mole of atoms

a b c (Å): 8.7767 9.0321 5.6948
angles (deg): 90.00 112.98 90.00
Space group C2/m (No. 12)
Inequivalent atoms, fractional coordinates:
1 Hf 0.0782 0.0000 0.3081 [4 per cell]
2 Hf 0.1747 0.2512 0.6964 [8 per cell]
3 Ti 0.0766 0.5000 0.3166 [4 per cell]
4 Rh 0.2427 0.5000 0.0026 [4 per cell]


Compound: CrTcW3
Source: Alexandria
Functional: GGA-PBE
Structure: optimized geometry

Summary:
Calculated formation energy: 1.581 eV/atom
Energy above the most stable polymorph in this dataset: 114.9 kJ per mole of atoms

a b c (Å): 4.4354 4.4354 4.4354
angles (deg): 90.00 90.00 90.00
Space group Pm-3m (No. 221)
Inequivalent atoms, fractional coordinates:
1 Cr 0.0000 0.0000 0.0000 [1 per cell]
2 Tc 0.5000 0.5000 0.5000 [1 per cell]
3 W 0.0000 0.0000 0.5000 [3 per cell]


Compound: LaCd2Pt
Source: Alexandria
Functional: GGA-PBE
Structure: optimized geometry

Summary:
Calculated formation energy: -0.555 eV/atom

a b c (Å): 4.8676 4.8676 14.3880
angles (deg): 90.00 90.00 120.00
Space group R3m (No. 160, hexagonal axes)
Inequivalent atoms, fractional coordinates:
1 La 0.0000 0.0000 0.0000 [3 per cell]
2 Cd 0.0000 0.0000 0.5349 [3 per cell]
3 Cd 0.0000 0.0000 0.7810 [3 per cell]
4 Pt 0.0000 0.0000 0.2029 [3 per cell]


Number 1: Fermi-level density of states 0.47 states/eV/atom. Number 2: Fermi-level density of states 0.92 states/eV/atom. Number 3: Fermi-level density of states 1.28 states/eV/atom. Number 4: Fermi-level density of states 0.77 states/eV/atom.